(1)
A plane-wave DFT calculation with PBE-GGA was carried out for crystalline LiTaGa2C at its relaxed geometry.

Lattice parameters (Å, degrees): 4.4846 4.4846 3.5528 90.00 90.00 90.00
Element x y z (fractional)
Li  0.0000  0.0000  0.0000
Ta  0.5000  0.5000  0.5000
Ga  0.0000  0.5000  0.0000
Ga  0.5000  0.0000  0.0000
C  0.0000  0.0000  0.5000

Summary:
Energy relative to the elements = 6.0 eV per formula unit
M_tot = 0.000 μB/atom
DOS at the Fermi energy = 0.730 states/eV per atom
Crystal system = tetragonal
V = 71.5 Å³/f.u.

(2)
A plane-wave DFT calculation with PBE-GGA was carried out for crystalline Pr2Nd5Ho12 at its relaxed geometry.

Lattice parameters (Å, degrees): 9.1304 9.1304 8.6773 91.71 91.71 61.44
Element x y z (fractional)
Pr  0.1781  0.8219  0.0000
Pr  0.8219  0.1781  0.0000
Nd  0.2052  0.2052  0.0166
Nd  0.2698  0.2698  0.4274
Nd  0.5000  0.5000  0.5000
Nd  0.7302  0.7302  0.5726
Nd  0.7948  0.7948  0.9834
Ho  0.0571  0.0571  0.3349
Ho  0.0603  0.6820  0.3389
Ho  0.1720  0.5286  0.7577
Ho  0.3180  0.9397  0.6611
Ho  0.4204  0.4204  0.1226
Ho  0.4714  0.8280  0.2423
Ho  0.5286  0.1720  0.7577
Ho  0.5796  0.5796  0.8774
Ho  0.6820  0.0603  0.3389
Ho  0.8280  0.4714  0.2423
Ho  0.9397  0.3180  0.6611
Ho  0.9429  0.9429  0.6651

Summary:
Energy relative to the elements = 2.4 eV per formula unit
M_tot = 0.000 μB/atom
DOS at the Fermi energy = 1.381 states/eV per atom
Crystal system = monoclinic
V = 634.9 Å³/f.u.

(3)
A plane-wave DFT calculation with PBE-GGA was carried out for crystalline Dy3RhCl3 at its relaxed geometry.

Lattice parameters (Å, degrees): 11.0625 11.0625 11.0625 35.56 35.56 35.56
Element x y z (fractional)
Dy  0.0538  0.4154  0.6922
Dy  0.3078  0.9462  0.5846
Dy  0.4154  0.6922  0.0538
Dy  0.5846  0.3078  0.9462
Dy  0.6922  0.0538  0.4154
Dy  0.9462  0.5846  0.3078
Rh  0.3333  0.3333  0.3333
Rh  0.6667  0.6667  0.6667
Cl  0.1086  0.7925  0.4245
Cl  0.2075  0.5755  0.8914
Cl  0.4245  0.1086  0.7925
Cl  0.5755  0.8914  0.2075
Cl  0.7925  0.4245  0.1086
Cl  0.8914  0.2075  0.5755

Summary:
M_tot = 0.000 μB/atom
Formation energy from raw total energies = -1.522 eV per atom
DOS at the Fermi energy = 0.374 states/eV per atom
Crystal system = trigonal
V = 204.6 Å³/f.u.

(4)
A plane-wave DFT calculation with PBE-GGA was carried out for crystalline SrLiTeF at its relaxed geometry.

Lattice parameters (Å, degrees): 4.3350 4.3350 9.5899 90.00 90.00 90.00
Element x y z (fractional)
Sr  0.2500  0.2500  0.1388
Sr  0.7500  0.7500  0.8612
Li  0.2500  0.7500  0.5000
Li  0.7500  0.2500  0.5000
Te  0.2500  0.2500  0.6805
Te  0.7500  0.7500  0.3195
F  0.2500  0.7500  0.0000
F  0.7500  0.2500  0.0000

Summary:
M_tot = 0.000 μB/atom
Formation energy from raw total energies = -2.309 eV per atom
DOS at the Fermi energy = 0.000 states/eV per atom
Crystal system = tetragonal
V = 90.1 Å³/f.u.

(5)
A plane-wave DFT calculation with PBE-GGA was carried out for crystalline TaTiCo2 at its relaxed geometry.

Lattice parameters (Å, degrees): 7.5658 7.5658 7.5658 22.94 22.94 22.94
Element x y z (fractional)
Ta  0.0000  0.0000  0.0000
Ti  0.5000  0.5000  0.5000
Co  0.2497  0.2497  0.2497
Co  0.7503  0.7503  0.7503

Summary:
Energy relative to the elements = 0.2 eV per formula unit
M_tot = 0.000 μB/atom
DOS at the Fermi energy = 0.834 states/eV per atom
Crystal system = trigonal
V = 57.7 Å³/f.u.

(6)
A plane-wave DFT calculation with PBE-GGA was carried out for crystalline RbGe4Au4 at its relaxed geometry.

Lattice parameters (Å, degrees): 9.1331 9.1331 5.1775 90.00 90.00 90.00
Element x y z (fractional)
Rb  0.2500  0.2500  0.2500
Rb  0.7500  0.7500  0.7500
Ge  0.1254  0.8737  0.6944
Ge  0.1263  0.6254  0.1944
Ge  0.3737  0.8746  0.1944
Ge  0.3746  0.6263  0.6944
Ge  0.6254  0.3737  0.3056
Ge  0.6263  0.1254  0.8056
Ge  0.8737  0.3746  0.8056
Ge  0.8746  0.1263  0.3056
Au  0.0573  0.9031  0.2025
Au  0.0969  0.5573  0.7025
Au  0.4031  0.9427  0.7025
Au  0.4427  0.5969  0.2025
Au  0.5573  0.4031  0.7975
Au  0.5969  0.0573  0.2975
Au  0.9031  0.4427  0.2975
Au  0.9427  0.0969  0.7975

Summary:
Energy relative to the elements = -0.9 eV per formula unit
M_tot = 0.000 μB/atom
DOS at the Fermi energy = 0.237 states/eV per atom
Crystal system = tetragonal
V = 215.9 Å³/f.u.